i) The following is a DFT calculation (PBE) of a geometry-optimized MnInB3 structure.

Computed properties:
Calculated volume ... 87.5 Å³/cell

Cell lengths 4.4394, 4.4394, 4.4394 Å; angles 90.00, 90.00, 90.00 degrees
Last column: nearest neighbours and their distance in Å.
Sites, in units of the cell vectors:
B 0.0000 0.5000 0.0000  2 In 2.22
B 0.5000 0.0000 0.0000  2 In 2.22
Mn 0.5000 0.5000 0.5000  12 B 3.14
B 0.0000 0.0000 0.5000  2 In 2.22
In 0.0000 0.0000 0.0000  6 B 2.22

=====

ii) The following is a DFT calculation (PBE) of a geometry-optimized MnInB3 structure.

Computed properties:
Calculated volume ... 60.7 Å³/cell

Cell lengths 3.9296, 3.9296, 3.9296 Å; angles 90.00, 90.00, 90.00 degrees
Last column: nearest neighbours and their distance in Å.
Sites, in units of the cell vectors:
B 0.5000 0.0000 0.0000  2 Mn 1.96
In 0.5000 0.5000 0.5000  12 B 2.78
Mn 0.0000 0.0000 0.0000  6 B 1.96
B 0.0000 0.5000 0.0000  2 Mn 1.96
B 0.0000 0.0000 0.5000  2 Mn 1.96

=====

Energy relative to the most stable one, in kJ/mol of atoms: i) 140.1; ii) 0.0

=====

i) The following is a DFT calculation (PBE) of a geometry-optimized MnIn3B structure.

Computed properties:
Calculated volume ... 128.1 Å³/cell

Cell lengths 5.0409, 5.0409, 5.0409 Å; angles 90.00, 90.00, 90.00 degrees
Last column: nearest neighbours and their distance in Å.
Sites, in units of the cell vectors:
In 0.0000 0.5000 0.0000  2 Mn 2.52
In 0.5000 0.0000 0.0000  2 Mn 2.52
In 0.0000 0.0000 0.5000  2 Mn 2.52
Mn 0.0000 0.0000 0.0000  6 In 2.52
B 0.5000 0.5000 0.5000  12 In 3.56

=====

ii) The following is a DFT calculation (PBE) of a geometry-optimized MnIn3B structure.

Computed properties:
Calculated volume ... 111.0 Å³/cell

Cell lengths 4.8053, 4.8053, 4.8053 Å; angles 90.00, 90.00, 90.00 degrees
Last column: nearest neighbours and their distance in Å.
Sites, in units of the cell vectors:
In 0.0000 0.0000 0.5000  2 B 2.40
B 0.0000 0.0000 0.0000  6 In 2.40
In 0.5000 0.0000 0.0000  2 B 2.40
In 0.0000 0.5000 0.0000  2 B 2.40
Mn 0.5000 0.5000 0.5000  12 In 3.40

=====

Energy relative to the most stable one, in kJ/mol of atoms: i) 35.8; ii) 0.0

=====

i) The following is a DFT calculation (PBE) of a geometry-optimized Mn2InB structure.

Computed properties:
Calculated volume ... 110.3 Å³/cell

Cell lengths 3.7243, 3.7243, 8.3790 Å; angles 77.16, 77.16, 90.00 degrees
Last column: nearest neighbours and their distance in Å.
Sites, in units of the cell vectors:
In 0.0000 0.0000 0.0000  4 Mn 2.59, 4 B 2.63
Mn 0.5045 0.1250 0.2500  2 Mn 2.10, 2 B 2.25
Mn 0.3750 0.4955 0.7500  2 Mn 2.10, 2 B 2.25
B 0.2500 0.7500 0.5000  4 Mn 2.25
Mn 0.8750 0.7545 0.7500  2 Mn 2.10, 2 B 2.25
B 0.5000 0.5000 0.0000  4 Mn 2.25
In 0.7500 0.2500 0.5000  4 Mn 2.59, 4 B 2.63
Mn 0.2455 0.6250 0.2500  2 Mn 2.10, 2 B 2.25

=====

ii) The following is a DFT calculation (PBE) of a geometry-optimized Mn2InB structure.

Computed properties:
Calculated volume ... 49.8 Å³/cell

Cell lengths 4.1309, 4.1309, 4.1309 Å; angles 60.00, 60.00, 60.00 degrees
Last column: nearest neighbours and their distance in Å.
Sites, in units of the cell vectors:
In 0.5000 0.5000 0.5000  8 Mn 2.53
B 0.0000 0.0000 0.0000  8 Mn 2.53
Mn 0.7500 0.7500 0.7500  4 In 2.53, 4 B 2.53
Mn 0.2500 0.2500 0.2500  4 In 2.53, 4 B 2.53

=====

Energy relative to the most stable one, in kJ/mol of atoms: i) 0.0; ii) 2.3